--- P ---
VASP calculation (GGA-PBE) on crystalline KLiRe at its relaxed geometry.

Unit cell a=5.4092 b=5.4092 c=2.5280 alpha=90.00 beta=90.00 gamma=120.00
Space group P3m1 (No. 156)
One atom of each set of equivalent atoms:
K  0.0000  0.0000  0.0000 [1 per cell]
Li  0.6667  0.3333  0.9971 [1 per cell]
Re  0.3333  0.6667  0.5002 [1 per cell]

- crystal system = trigonal
- density of states at the Fermi level (states/eV/atom) = 0.693


--- Q ---
VASP calculation (GGA-PBE) on crystalline KLiRe at its relaxed geometry.

Unit cell a=2.691 b=2.691 c=17.026 alpha=90.00 beta=90.00 gamma=90.00
Space group I4mm (No. 107)
One atom of each set of equivalent atoms:
K  0.000  0.000  0.000 [2 per cell]
Li  0.000  0.000  0.711 [2 per cell]
Re  0.000  0.000  0.334 [2 per cell]

- crystal system = tetragonal
- density of states at the Fermi level (states/eV/atom) = 0.586


--- R ---
VASP calculation (GGA-PBE) on crystalline KLiRe at its relaxed geometry.

Unit cell a=2.547 b=4.646 c=11.780 alpha=90.00 beta=90.00 gamma=90.00
Space group Imm2 (No. 44)
One atom of each set of equivalent atoms:
K  0.000  0.000  0.000 [2 per cell]
Li  0.000  0.000  0.725 [2 per cell]
Re  0.000  0.000  0.291 [2 per cell]

- crystal system = orthorhombic
- density of states at the Fermi level (states/eV/atom) = 1.091


The energy of each structure relative to the most stable one, in meV/atom, is as follows: P 344; Q 0; R 230.


--- P ---
VASP calculation (GGA-PBE) on crystalline KLiRe at its relaxed geometry.

Unit cell a=2.8231 b=2.8231 c=8.6578 alpha=90.00 beta=90.00 gamma=120.00
Space group P3m1 (No. 156)
One atom of each set of equivalent atoms:
K  0.0000  0.0000  0.0000 [1 per cell]
Li  0.3333  0.6667  0.4021 [1 per cell]
Re  0.6667  0.3333  0.6645 [1 per cell]

- crystal system = trigonal
- density of states at the Fermi level (states/eV/atom) = 0.810


--- Q ---
VASP calculation (GGA-PBE) on crystalline KLiRe at its relaxed geometry.

Unit cell a=7.293 b=7.293 c=7.293 alpha=90.00 beta=90.00 gamma=90.00
Space group F-43m (No. 216)
One atom of each set of equivalent atoms:
K  0.000  0.000  0.000 [4 per cell]
Li  0.250  0.250  0.250 [4 per cell]
Re  0.250  0.250  0.750 [4 per cell]

- crystal system = cubic
- density of states at the Fermi level (states/eV/atom) = 1.354


--- R ---
VASP calculation (GGA-PBE) on crystalline KLiRe at its relaxed geometry.

Unit cell a=3.227 b=4.378 c=17.207 alpha=90.00 beta=90.00 gamma=90.00
Space group Fmm2 (No. 42)
One atom of each set of equivalent atoms:
K  0.000  0.000  0.000 [4 per cell]
Li  0.000  0.000  0.294 [4 per cell]
Re  0.000  0.000  0.667 [4 per cell]

- crystal system = orthorhombic
- density of states at the Fermi level (states/eV/atom) = 0.264


The energy of each structure relative to the most stable one, in meV/atom, is as follows: P 23; Q 1377; R 0.


--- P ---
VASP calculation (GGA-PBE) on crystalline KLiRe3 at its relaxed geometry.

Unit cell a=4.566 b=4.566 c=4.566 alpha=90.00 beta=90.00 gamma=90.00
Space group Pm-3m (No. 221)
One atom of each set of equivalent atoms:
K  0.000  0.000  0.000 [1 per cell]
Li  0.500  0.500  0.500 [1 per cell]
Re  0.000  0.000  0.500 [3 per cell]

- crystal system = cubic
- density of states at the Fermi level (states/eV/atom) = 1.724


--- Q ---
VASP calculation (GGA-PBE) on crystalline KLiRe3 at its relaxed geometry.

Unit cell a=4.402 b=4.402 c=4.402 alpha=90.00 beta=90.00 gamma=90.00
Space group Pm-3m (No. 221)
One atom of each set of equivalent atoms:
K  0.000  0.000  0.000 [1 per cell]
Li  0.500  0.500  0.500 [1 per cell]
Re  0.000  0.500  0.500 [3 per cell]

- crystal system = cubic
- density of states at the Fermi level (states/eV/atom) = 1.672


The energy of each structure relative to the most stable one, in meV/atom, is as follows: P 1434; Q 0.